Entry from the Open Quantum Materials Database: a relaxed TlZnB2 crystal (GGA-PBE).

Geometry as POSCAR:
```
TlZnB2
1.0
0.000 3.128 3.128
3.128 0.000 3.128
3.128 3.128 0.000
Tl Zn B
1 1 2
Direct
0.000 0.000 0.000
0.250 0.250 0.250
0.500 0.500 0.500
0.750 0.750 0.750
```

Computed properties:
For the total energy, the calculation gives -2.471 eV/atom.